NdDyHo2N4 | PBE | optimized geometry

density of states at the Fermi level = 0.0320 states/eV/atom
energy = -8.093 eV per atom
theoretical density = 9413 kg/m3
V = 15.3 A^3/atom

Cell: 6.076 3.509 6.077 Å, 90.00 109.42 90.00°
Sites, in units of the cell vectors:
Nd  0.000  0.000  0.000
Dy  0.500  0.500  0.000
Ho  0.000  0.500  0.500
Ho  0.500  0.000  0.500
N  0.253  0.000  0.745
N  0.258  0.500  0.259
N  0.742  0.500  0.741
N  0.747  0.000  0.255



NdDy2HoN4 | PBE | optimized geometry

density of states at the Fermi level = 0.0322 states/eV/atom
energy = -8.086 eV per atom
theoretical density = 9329 kg/m3
V = 15.4 A^3/atom

Cell: 6.087 3.515 6.088 Å, 90.00 109.42 90.00°
Sites, in units of the cell vectors:
Nd  0.000  0.000  0.000
Dy  0.500  0.000  0.500
Dy  0.500  0.500  0.000
Ho  0.000  0.500  0.500
N  0.253  0.000  0.745
N  0.257  0.500  0.258
N  0.743  0.500  0.742
N  0.747  0.000  0.255



Dy3Ho2NpN6 | PBE | optimized geometry

density of states at the Fermi level = 0.6023 states/eV/atom
energy = -8.782 eV per atom
theoretical density = 10847 kg/m3
V = 14.5 A^3/atom

Cell: 5.978 5.978 5.974 Å, 99.58 99.58 120.03°
Sites, in units of the cell vectors:
Dy  0.000  0.000  0.000
Dy  0.332  0.668  0.000
Dy  0.668  0.332  0.000
Ho  0.167  0.833  0.500
Ho  0.833  0.167  0.500
Np  0.500  0.500  0.500
N  0.099  0.419  0.258
N  0.261  0.261  0.739
N  0.419  0.099  0.258
N  0.581  0.901  0.742
N  0.739  0.739  0.261
N  0.901  0.581  0.742



Dy2HoNpN4 | PBE | optimized geometry

density of states at the Fermi level = 0.7519 states/eV/atom
energy = -9.068 eV per atom
theoretical density = 11170 kg/m3
V = 14.5 A^3/atom

Cell: 5.966 3.457 5.969 Å, 90.00 108.99 90.00°
Sites, in units of the cell vectors:
Dy  0.000  0.000  0.000
Dy  0.500  0.500  0.000
Ho  0.000  0.500  0.500
Np  0.500  0.000  0.500
N  0.257  0.500  0.258
N  0.259  0.000  0.739
N  0.741  0.000  0.261
N  0.743  0.500  0.742



DyHoPa2N4 | PBE | optimized geometry

density of states at the Fermi level = 0.5072 states/eV/atom
energy = -9.351 eV per atom
theoretical density = 11762 kg/m3
V = 14.9 A^3/atom

Cell: 6.027 3.476 6.045 Å, 90.00 109.48 90.00°
Sites, in units of the cell vectors:
Dy  0.000  0.000  0.000
Ho  0.500  0.500  0.000
Pa  0.000  0.500  0.500
Pa  0.500  0.000  0.500
N  0.248  0.000  0.742
N  0.254  0.500  0.259
N  0.746  0.500  0.741
N  0.752  0.000  0.258



DyHo2PaN4 | PBE | optimized geometry

density of states at the Fermi level = 0.4396 states/eV/atom
energy = -8.789 eV per atom
theoretical density = 10979 kg/m3
V = 14.7 A^3/atom

Cell: 5.986 3.482 5.990 Å, 90.00 109.19 90.00°
Sites, in units of the cell vectors:
Dy  0.000  0.000  0.000
Ho  0.500  0.000  0.500
Ho  0.500  0.500  0.000
Pa  0.000  0.500  0.500
N  0.243  0.500  0.260
N  0.244  0.000  0.743
N  0.756  0.000  0.257
N  0.757  0.500  0.740



PrDyHoN3 | PBE | optimized geometry

energy = -7.894 eV per atom
theoretical density = 8888 kg/m3
V = 15.9 A^3/atom

Cell: 6.056 3.531 9.113 Å, 90.00 101.87 90.00°
Sites, in units of the cell vectors:
Pr  0.155  0.250  0.199
Pr  0.845  0.750  0.801
Dy  0.269  0.750  0.544
Dy  0.731  0.250  0.456
Ho  0.352  0.250  0.859
Ho  0.648  0.750  0.141
N  0.042  0.250  0.666
N  0.256  0.750  0.989
N  0.465  0.750  0.347
N  0.535  0.250  0.653
N  0.744  0.250  0.011
N  0.958  0.750  0.334



DyHo2PuN4 | PBE | optimized geometry

density of states at the Fermi level = 0.8709 states/eV/atom
energy = -9.273 eV per atom
theoretical density = 11245 kg/m3
V = 14.6 A^3/atom

Cell: 5.981 3.468 5.981 Å, 90.00 109.38 90.00°
Sites, in units of the cell vectors:
Dy  0.000  0.000  0.000
Ho  0.500  0.000  0.500
Ho  0.500  0.500  0.000
Pu  0.000  0.500  0.500
N  0.246  0.000  0.745
N  0.248  0.500  0.254
N  0.752  0.500  0.746
N  0.754  0.000  0.255



Dy2HoPuN4 | PBE | optimized geometry

density of states at the Fermi level = 0.8702 states/eV/atom
energy = -9.269 eV per atom
theoretical density = 11161 kg/m3
V = 14.7 A^3/atom

Cell: 5.989 3.473 5.989 Å, 90.00 109.37 90.00°
Sites, in units of the cell vectors:
Dy  0.000  0.000  0.000
Dy  0.500  0.500  0.000
Ho  0.000  0.500  0.500
Pu  0.500  0.000  0.500
N  0.253  0.000  0.745
N  0.255  0.500  0.257
N  0.745  0.500  0.743
N  0.747  0.000  0.255



DyHo2RuN4 | PBE | optimized geometry

density of states at the Fermi level = 0.2680 states/eV/atom
energy = -8.088 eV per atom
theoretical density = 9598 kg/m3
V = 14.0 A^3/atom

Cell: 5.998 5.998 11.578 Å, 90.00 90.00 147.36°
Sites, in units of the cell vectors:
Dy  0.130  0.870  0.750
Dy  0.870  0.130  0.250
Ho  0.369  0.631  0.542
Ho  0.369  0.631  0.958
Ho  0.631  0.369  0.042
Ho  0.631  0.369  0.458
Ru  0.135  0.865  0.250
Ru  0.865  0.135  0.750
N  0.000  0.000  0.000
N  0.000  0.000  0.500
N  0.268  0.732  0.130
N  0.268  0.732  0.370
N  0.452  0.548  0.750
N  0.548  0.452  0.250
N  0.732  0.268  0.630
N  0.732  0.268  0.870



Dy2HoSbN4 | PBE | optimized geometry

density of states at the Fermi level = 0.0534 states/eV/atom
energy = -7.473 eV per atom
theoretical density = 9273 kg/m3
V = 14.9 A^3/atom

Cell: 6.033 3.477 6.041 Å, 90.00 109.31 90.00°
Sites, in units of the cell vectors:
Dy  0.000  0.000  0.000
Dy  0.000  0.500  0.500
Ho  0.500  0.000  0.500
Sb  0.500  0.500  0.000
N  0.238  0.000  0.737
N  0.245  0.500  0.256
N  0.755  0.500  0.744
N  0.762  0.000  0.263



Dy2HoScN4 | PBE | optimized geometry

density of states at the Fermi level = 0.0289 states/eV/atom
energy = -8.403 eV per atom
theoretical density = 8794 kg/m3
V = 13.9 A^3/atom

Cell: 5.893 3.407 5.893 Å, 90.00 109.42 90.00°
Sites, in units of the cell vectors:
Dy  0.000  0.000  0.000
Dy  0.500  0.500  0.000
Ho  0.000  0.500  0.500
Sc  0.500  0.000  0.500
N  0.254  0.000  0.745
N  0.258  0.500  0.259
N  0.742  0.500  0.741
N  0.746  0.000  0.255



Sm2DyHoN4 | PBE | optimized geometry

density of states at the Fermi level = 0.0286 states/eV/atom
energy = -8.083 eV per atom
theoretical density = 9167 kg/m3
V = 15.5 A^3/atom

Cell: 6.103 3.526 6.107 Å, 90.00 109.42 90.00°
Sites, in units of the cell vectors:
Sm  0.000  0.000  0.000
Sm  0.500  0.500  0.000
Dy  0.000  0.500  0.500
Ho  0.500  0.000  0.500
N  0.248  0.000  0.742
N  0.253  0.500  0.258
N  0.747  0.500  0.742
N  0.752  0.000  0.258



SmDyHoN3 | PBE | optimized geometry

energy = -7.919 eV per atom
theoretical density = 9311 kg/m3
V = 15.5 A^3/atom

Cell: 6.012 3.478 9.050 Å, 90.00 101.54 90.00°
Sites, in units of the cell vectors:
Sm  0.157  0.250  0.198
Sm  0.843  0.750  0.802
Dy  0.269  0.750  0.545
Dy  0.731  0.250  0.455
Ho  0.348  0.250  0.861
Ho  0.652  0.750  0.139
N  0.038  0.250  0.669
N  0.253  0.750  0.995
N  0.465  0.750  0.345
N  0.535  0.250  0.655
N  0.747  0.250  0.005
N  0.962  0.750  0.331



Dy2HoSnN4 | PBE | optimized geometry

density of states at the Fermi level = 0.5465 states/eV/atom
energy = -7.474 eV per atom
theoretical density = 9408 kg/m3
V = 14.7 A^3/atom

Cell: 5.991 3.464 6.001 Å, 90.00 109.63 90.00°
Sites, in units of the cell vectors:
Dy  0.000  0.000  0.000
Dy  0.000  0.500  0.500
Ho  0.500  0.000  0.500
Sn  0.500  0.500  0.000
N  0.245  0.000  0.743
N  0.247  0.500  0.255
N  0.753  0.500  0.745
N  0.755  0.000  0.257



DyHo2SnN4 | PBE | optimized geometry

density of states at the Fermi level = 0.5462 states/eV/atom
energy = -7.479 eV per atom
theoretical density = 9481 kg/m3
V = 14.6 A^3/atom

Cell: 5.982 3.459 5.993 Å, 90.00 109.59 90.00°
Sites, in units of the cell vectors:
Dy  0.000  0.000  0.000
Ho  0.000  0.500  0.500
Ho  0.500  0.000  0.500
Sn  0.500  0.500  0.000
N  0.243  0.000  0.742
N  0.246  0.500  0.256
N  0.754  0.500  0.744
N  0.757  0.000  0.258



DyHoTaN3 | PBE | optimized geometry

density of states at the Fermi level = 0.2894 states/eV/atom
energy = -8.814 eV per atom
theoretical density = 9546 kg/m3
V = 16.0 A^3/atom

Cell: 7.133 3.392 7.915 Å, 90.00 90.44 90.00°
Sites, in units of the cell vectors:
Dy  0.144  0.250  0.152
Dy  0.856  0.750  0.848
Ho  0.395  0.750  0.846
Ho  0.605  0.250  0.154
Ta  0.127  0.250  0.580
Ta  0.873  0.750  0.420
N  0.126  0.250  0.839
N  0.182  0.750  0.452
N  0.378  0.750  0.122
N  0.622  0.250  0.878
N  0.818  0.250  0.548
N  0.874  0.750  0.161



Tb2DyHoN4 | PBE | optimized geometry

density of states at the Fermi level = 0.0268 states/eV/atom
energy = -8.161 eV per atom
theoretical density = 9771 kg/m3
V = 14.9 A^3/atom

Cell: 6.026 3.481 6.026 Å, 90.00 109.45 90.00°
Sites, in units of the cell vectors:
Tb  0.000  0.000  0.000
Tb  0.000  0.500  0.500
Dy  0.500  0.000  0.500
Ho  0.500  0.500  0.000
N  0.252  0.000  0.751
N  0.252  0.500  0.250
N  0.748  0.000  0.249
N  0.748  0.500  0.750



Dy2HoThN4 | PBE | optimized geometry

density of states at the Fermi level = 0.2158 states/eV/atom
energy = -8.494 eV per atom
theoretical density = 10458 kg/m3
V = 15.4 A^3/atom

Cell: 6.091 3.529 6.091 Å, 90.00 109.33 90.00°
Sites, in units of the cell vectors:
Dy  0.000  0.000  0.000
Dy  0.500  0.500  0.000
Ho  0.000  0.500  0.500
Th  0.500  0.000  0.500
N  0.247  0.500  0.248
N  0.249  0.000  0.749
N  0.751  0.000  0.251
N  0.753  0.500  0.752



DyHoTh2N4 | PBE | optimized geometry

density of states at the Fermi level = 0.3193 states/eV/atom
energy = -8.790 eV per atom
theoretical density = 10953 kg/m3
V = 16.1 A^3/atom

Cell: 6.163 3.575 6.188 Å, 90.00 109.55 90.00°
Sites, in units of the cell vectors:
Dy  0.000  0.000  0.000
Ho  0.000  0.500  0.500
Th  0.500  0.000  0.500
Th  0.500  0.500  0.000
N  0.244  0.000  0.747
N  0.245  0.500  0.249
N  0.755  0.500  0.751
N  0.756  0.000  0.253



DyHo2ThN4 | PBE | optimized geometry

density of states at the Fermi level = 0.2141 states/eV/atom
energy = -8.498 eV per atom
theoretical density = 10546 kg/m3
V = 15.4 A^3/atom

Cell: 6.080 3.522 6.081 Å, 90.00 109.33 90.00°
Sites, in units of the cell vectors:
Dy  0.000  0.000  0.000
Ho  0.500  0.000  0.500
Ho  0.500  0.500  0.000
Th  0.000  0.500  0.500
N  0.251  0.500  0.251
N  0.254  0.000  0.753
N  0.746  0.000  0.247
N  0.749  0.500  0.749



DyHoTiN3 | PBE | optimized geometry

density of states at the Fermi level = 0.1986 states/eV/atom
energy = -8.385 eV per atom
theoretical density = 7142 kg/m3
V = 16.2 A^3/atom

Cell: 6.473 3.263 9.192 Å, 90.00 91.79 90.00°
Sites, in units of the cell vectors:
Dy  0.179  0.250  0.238
Dy  0.821  0.750  0.762
Ho  0.342  0.750  0.883
Ho  0.658  0.250  0.117
Ti  0.140  0.250  0.574
Ti  0.860  0.750  0.426
N  0.118  0.250  0.786
N  0.184  0.750  0.456
N  0.385  0.750  0.129
N  0.615  0.250  0.871
N  0.816  0.250  0.544
N  0.882  0.750  0.214



Dy2HoTlN | PBE | optimized geometry

density of states at the Fermi level = 0.5130 states/eV/atom
energy = -5.837 eV per atom
theoretical density = 10558 kg/m3
V = 22.3 A^3/atom

Cell: 4.821 4.821 4.794 Å, 90.00 90.00 90.00°
Sites, in units of the cell vectors:
Dy  0.000  0.500  0.000
Dy  0.500  0.000  0.000
Ho  0.000  0.000  0.500
Tl  0.500  0.500  0.500
N  0.000  0.000  0.000